#A
A plane-wave DFT calculation with PBE was carried out for crystalline YMg3Hg2 at its relaxed geometry.

Cell and atoms, written as extended XYZ:
```
12
Lattice="8.325 -2.332 0.000 8.325 2.332 0.000 -2.976 0.000 7.284" Properties=species:S:1:pos:R:3 pbc="T T T"
Y 1.447 0.000 1.277
Y 12.228 0.000 6.007
Mg -0.993 0.000 5.102
Mg 4.858 0.000 0.612
Mg 4.551 0.000 3.633
Mg 9.124 0.000 3.651
Mg 8.817 0.000 6.672
Mg 14.668 0.000 2.182
Hg 1.891 0.000 5.016
Hg 7.597 0.000 1.274
Hg 6.078 0.000 6.010
Hg 11.785 0.000 2.268
```

Results
Its calculated density is 6.61 g/cm³. The calculation puts the calculated volume at 282.8 Å³ per cell. As for the space group: C2/m, No. 12. The value obtained for the total magnetization is 0.000 μB/cell.

#B
A plane-wave DFT calculation with PBE was carried out for crystalline YMg3Hg2 at its relaxed geometry.

Cell and atoms, written as extended XYZ:
```
12
Lattice="4.284 0.000 0.000 0.000 8.701 0.000 0.000 0.000 7.631" Properties=species:S:1:pos:R:3 pbc="T T T"
Y 0.000 0.698 0.000
Y 0.000 8.003 3.816
Mg 0.000 2.721 4.640
Mg 0.000 5.979 0.825
Mg 2.142 1.685 2.535
Mg 2.142 3.591 7.145
Mg 2.142 5.109 3.330
Mg 2.142 7.016 6.350
Hg 0.000 3.377 1.769
Hg 0.000 5.324 5.585
Hg 2.142 1.059 5.421
Hg 2.142 7.641 1.606
```

Results
Its calculated density is 6.57 g/cm³. The calculation puts the calculated volume at 284.4 Å³ per cell. As for the space group: Pmc2_1, No. 26. The value obtained for the total magnetization is 0.000 μB/cell.

Computed relative energies in units of eV/atom: #A 0.039; #B 0.000

#A
A plane-wave DFT calculation with PBE was carried out for crystalline Y3MgHg at its relaxed geometry.

Cell and atoms, written as extended XYZ:
```
5
Lattice="5.664 0.000 0.000 0.000 5.664 0.000 0.000 0.000 5.664" Properties=species:S:1:pos:R:3 pbc="T T T"
Y 0.000 0.000 2.832
Y 0.000 2.832 0.000
Y 2.832 0.000 0.000
Mg 2.832 2.832 2.832
Hg 0.000 0.000 0.000
```

Results
Its calculated density is 4.49 g/cm³. The calculation puts the calculated volume at 181.7 Å³ per cell. As for the space group: Pm-3m, No. 221. The value obtained for the total magnetization is 1.614 μB/cell.

#B
A plane-wave DFT calculation with PBE was carried out for crystalline Y3MgHg at its relaxed geometry.

Cell and atoms, written as extended XYZ:
```
10
Lattice="2.590 -10.379 0.000 2.590 10.379 0.000 0.000 0.000 5.179" Properties=species:S:1:pos:R:3 pbc="T T T"
Y 2.590 9.170 3.884
Y 2.590 5.214 3.884
Y 2.590 1.313 3.884
Y 2.590 -1.313 1.295
Y 2.590 -5.214 1.295
Y 2.590 -9.170 1.295
Mg 2.590 7.175 1.295
Mg 2.590 -7.175 3.884
Hg 2.590 3.333 1.295
Hg 2.590 -3.333 3.884
```

Results
Its calculated density is 5.86 g/cm³. The calculation puts the calculated volume at 278.5 Å³ per cell. As for the space group: Cmcm, No. 63. The value obtained for the total magnetization is 0.000 μB/cell.

Computed relative energies in units of eV/atom: #A 0.483; #B 0.000

#A
A plane-wave DFT calculation with PBE was carried out for crystalline Mg2ZnHg at its relaxed geometry.

Cell and atoms, written as extended XYZ:
```
4
Lattice="4.699 -1.644 0.000 4.699 1.644 0.000 -0.992 0.000 5.334" Properties=species:S:1:pos:R:3 pbc="T T T"
Mg 2.087 0.000 1.292
Mg 6.319 0.000 4.042
Zn 4.699 0.000 0.000
Hg -0.496 0.000 2.667
```

Results
Its calculated density is 6.34 g/cm³. The calculation puts the calculated volume at 82.4 Å³ per cell. As for the space group: C2/m, No. 12. The value obtained for the total magnetization is 0.000 μB/cell.

#B
A plane-wave DFT calculation with PBE was carried out for crystalline Mg2ZnHg at its relaxed geometry.

Cell and atoms, written as extended XYZ:
```
4
Lattice="-1.566 2.640 5.789 1.566 -2.640 5.789 1.566 2.640 -5.789" Properties=species:S:1:pos:R:3 pbc="T T T"
Mg 0.000 0.000 2.837
Mg 0.000 0.000 8.742
Zn 0.000 0.000 0.000
Hg 0.000 0.000 5.789
```

Results
Its calculated density is 5.46 g/cm³. The calculation puts the calculated volume at 95.7 Å³ per cell. As for the space group: Immm, No. 71. The value obtained for the total magnetization is 0.000 μB/cell.

Computed relative energies in units of eV/atom: #A 0.000; #B 0.245

#A
A plane-wave DFT calculation with PBE was carried out for crystalline Mg2ZnHg at its relaxed geometry.

Cell and atoms, written as extended XYZ:
```
4
Lattice="3.211 -3.384 0.000 3.211 3.384 0.000 0.000 0.000 3.636" Properties=species:S:1:pos:R:3 pbc="T T T"
Mg 1.605 1.692 0.000
Mg 1.605 -1.692 0.000
Zn 0.000 0.000 1.818
Hg 3.211 0.000 1.818
```

Results
Its calculated density is 6.61 g/cm³. The calculation puts the calculated volume at 79.0 Å³ per cell. As for the space group: Cmmm, No. 65. The value obtained for the total magnetization is 0.000 μB/cell.

#B
A plane-wave DFT calculation with PBE was carried out for crystalline Mg2ZnHg at its relaxed geometry.

Cell and atoms, written as extended XYZ:
```
8
Lattice="5.932 0.000 0.000 0.000 4.812 0.000 -2.150 0.000 5.530" Properties=species:S:1:pos:R:3 pbc="T T T"
Mg 0.048 1.203 1.976
Mg 1.818 3.609 0.764
Mg 1.964 1.203 4.766
Mg 3.734 3.609 3.554
Zn -1.040 1.203 4.773
Zn 4.822 3.609 0.757
Hg 0.710 3.609 3.578
Hg 3.073 1.203 1.952
```

Results
Its calculated density is 6.62 g/cm³. The calculation puts the calculated volume at 157.9 Å³ per cell. As for the space group: P2_1/m, No. 11. The value obtained for the total magnetization is 0.000 μB/cell.

#C
A plane-wave DFT calculation with PBE was carried out for crystalline Mg2ZnHg at its relaxed geometry.

Cell and atoms, written as extended XYZ:
```
4
Lattice="0.000 3.402 3.402 3.402 0.000 3.402 3.402 3.402 0.000" Properties=species:S:1:pos:R:3 pbc="T T T"
Mg 1.701 1.701 1.701
Mg 5.102 5.102 5.102
Zn 0.000 0.000 0.000
Hg 3.402 3.402 3.402
```

Results
Its calculated density is 6.64 g/cm³. The calculation puts the calculated volume at 78.7 Å³ per cell. As for the space group: Fm-3m, No. 225. The value obtained for the total magnetization is 0.000 μB/cell.

#D
A plane-wave DFT calculation with PBE was carried out for crystalline Mg2ZnHg at its relaxed geometry.

Cell and atoms, written as extended XYZ:
```
4
Lattice="3.200 0.000 0.000 0.000 3.200 0.000 0.000 0.000 8.111" Properties=species:S:1:pos:R:3 pbc="T T T"
Mg 0.000 0.000 0.000
Mg 1.600 1.600 2.318
Zn 0.000 0.000 4.116
Hg 1.600 1.600 6.071
```

Results
Its calculated density is 6.29 g/cm³. The calculation puts the calculated volume at 83.0 Å³ per cell. As for the space group: P4mm, No. 99. The value obtained for the total magnetization is 0.000 μB/cell.

Computed relative energies in units of eV/atom: #A 0.007; #B 0.000; #C 0.012; #D 0.123